(1)
Material: LiTbGa2
Method: DFT, PBE
State: optimized geometry

As for the total magnetic moment: 0.0 μB/cell. The density of states at the Fermi level comes out at 1.9 states/eV/cell. The calculated volume comes out at 77 Å³ per cell. The energy relative to the lowest polymorph listed for this composition is 0.19 eV/f.u. For the calculated formation energy, the calculation gives -0.44 eV per atom.

Cell and atoms, written as CIF:
```
data_LiTbGa2
_chemical_formula_sum 'Li1 Tb1 Ga2'
_space_group_name_H-M_alt 'P 4/m m m'
_space_group_IT_number 123
_space_group_name_Hall '-P 4 2'
_cell_length_a 3.371
_cell_length_b 3.371
_cell_length_c 6.787
_cell_angle_alpha 90.00
_cell_angle_beta 90.00
_cell_angle_gamma 90.00
loop_
_atom_site_label
_atom_site_type_symbol
_atom_site_fract_x
_atom_site_fract_y
_atom_site_fract_z
Li1 Li 0.000 0.000 0.000
Tb1 Tb 0.000 0.000 0.500
Ga1 Ga 0.500 0.500 0.203
```

---

(2)
Material: Li3TbGa3
Method: DFT, PBE
State: optimized geometry

As for the total magnetic moment: 0.0 μB/cell. The density of states at the Fermi level comes out at 4.6 states/eV/cell. The calculated volume comes out at 275 Å³ per cell. The energy relative to the lowest polymorph listed for this composition is 0.00 eV/f.u. For the calculated formation energy, the calculation gives -0.34 eV per atom.

Cell and atoms, written as CIF:
```
data_Li3TbGa3
_chemical_formula_sum 'Li6 Tb2 Ga6'
_space_group_name_H-M_alt 'P 1 21/m 1'
_space_group_IT_number 11
_space_group_name_Hall '-P 2yb'
_cell_length_a 8.425
_cell_length_b 4.446
_cell_length_c 8.456
_cell_angle_alpha 90.00
_cell_angle_beta 119.87
_cell_angle_gamma 90.00
loop_
_atom_site_label
_atom_site_type_symbol
_atom_site_fract_x
_atom_site_fract_y
_atom_site_fract_z
Li1 Li 0.024 0.250 0.257
Li2 Li 0.232 0.250 0.975
Li3 Li 0.258 0.750 0.234
Tb1 Tb 0.335 0.750 0.668
Ga1 Ga 0.071 0.250 0.612
Ga2 Ga 0.387 0.250 0.459
Ga3 Ga 0.458 0.750 0.071
```

---

(3)
Material: LiTb2Ga6Tc
Method: DFT, PBE
State: optimized geometry

As for the total magnetic moment: 0.0 μB/cell. The density of states at the Fermi level comes out at 10.6 states/eV/cell. The calculated volume comes out at 421 Å³ per cell. For the calculated formation energy, the calculation gives -0.26 eV per atom.

Cell and atoms, written as CIF:
```
data_LiTb2Ga6Tc
_chemical_formula_sum 'Li2 Tb4 Ga12 Tc2'
_space_group_name_H-M_alt 'C 1 2/m 1'
_space_group_IT_number 12
_space_group_name_Hall '-C 2y'
_cell_length_a 12.127
_cell_length_b 5.476
_cell_length_c 7.585
_cell_angle_alpha 90.00
_cell_angle_beta 123.30
_cell_angle_gamma 90.00
loop_
_atom_site_label
_atom_site_type_symbol
_atom_site_fract_x
_atom_site_fract_y
_atom_site_fract_z
Li1 Li 0.000 0.000 0.000
Tb1 Tb 0.155 0.000 0.752
Ga1 Ga 0.114 0.263 0.354
Ga2 Ga 0.245 0.000 0.228
Tc1 Tc 0.000 0.500 0.500
```

---

(4)
Material: LiTbTiGa
Method: DFT, PBE
State: optimized geometry

As for the total magnetic moment: 3.0 μB/cell. The density of states at the Fermi level comes out at 13.1 states/eV/cell. The calculated volume comes out at 313 Å³ per cell. For the calculated formation energy, the calculation gives -0.13 eV per atom.

Cell and atoms, written as CIF:
```
data_LiTbTiGa
_chemical_formula_sum 'Li4 Tb4 Ti4 Ga4'
_space_group_name_H-M_alt 'F -4 3 m'
_space_group_IT_number 216
_space_group_name_Hall 'F -4 2 3'
_cell_length_a 6.790
_cell_length_b 6.790
_cell_length_c 6.790
_cell_angle_alpha 90.00
_cell_angle_beta 90.00
_cell_angle_gamma 90.00
loop_
_atom_site_label
_atom_site_type_symbol
_atom_site_fract_x
_atom_site_fract_y
_atom_site_fract_z
Li1 Li 0.000 0.000 0.000
Tb1 Tb 0.250 0.250 0.750
Ti1 Ti 0.250 0.250 0.250
Ga1 Ga 0.000 0.000 0.500
```

---

(5)
Material: LiTbTlGa
Method: DFT, PBE
State: optimized geometry

As for the total magnetic moment: 0.0 μB/cell. The density of states at the Fermi level comes out at 5.3 states/eV/cell. The calculated volume comes out at 359 Å³ per cell. For the calculated formation energy, the calculation gives -0.36 eV per atom.

Cell and atoms, written as CIF:
```
data_LiTbTlGa
_chemical_formula_sum 'Li4 Tb4 Tl4 Ga4'
_space_group_name_H-M_alt 'F -4 3 m'
_space_group_IT_number 216
_space_group_name_Hall 'F -4 2 3'
_cell_length_a 7.110
_cell_length_b 7.110
_cell_length_c 7.110
_cell_angle_alpha 90.00
_cell_angle_beta 90.00
_cell_angle_gamma 90.00
loop_
_atom_site_label
_atom_site_type_symbol
_atom_site_fract_x
_atom_site_fract_y
_atom_site_fract_z
Li1 Li 0.000 0.000 0.000
Tb1 Tb 0.000 0.000 0.500
Tl1 Tl 0.250 0.250 0.250
Ga1 Ga 0.250 0.250 0.750
```

---

(6)
Material: Li2TbTm2Ga2
Method: DFT, PBE
State: optimized geometry

As for the total magnetic moment: 0.0 μB/cell. The density of states at the Fermi level comes out at 14.6 states/eV/cell. The calculated volume comes out at 473 Å³ per cell. For the calculated formation energy, the calculation gives -0.27 eV per atom.

Cell and atoms, written as CIF:
```
data_Li2TbTm2Ga2
_chemical_formula_sum 'Li6 Tb3 Tm6 Ga6'
_space_group_name_H-M_alt 'R -3 m'
_space_group_IT_number 166
_space_group_name_Hall '-R 3 2"'
_cell_length_a 4.5859
_cell_length_b 4.5859
_cell_length_c 25.9621
_cell_angle_alpha 90.00
_cell_angle_beta 90.00
_cell_angle_gamma 120.00
loop_
_atom_site_label
_atom_site_type_symbol
_atom_site_fract_x
_atom_site_fract_y
_atom_site_fract_z
Li1 Li 0.0000 0.0000 0.0996
Tb1 Tb 0.0000 0.0000 0.5000
Tm1 Tm 0.0000 0.0000 0.3729
Ga1 Ga 0.0000 0.0000 0.2405
```

---

Q: Which formula does entry 1 have?
A: LiTbGa2